The following is a DFT calculation (PBE) of crystalline Ca3N2Cl2 at its relaxed geometry.

For the size of the total moment, the calculation gives 0.0 μB per formula unit. For the mass density, the calculation gives 2559 kg/m³. As for the formation energy (no corrections): -1.252 eV/atom.

The structure belongs to space group P2_1/c (No. 14); the cell edges are 5.8204, 7.5668 and 6.8276 Å and the angles 90.00°, 108.91° and 90.00°. Symmetry generates all atoms from Ca at (0.0000, 0.0000, 0.0000), Ca at (0.4101, 0.1416, 0.7076), N at (0.3894, 0.0316, 0.0133) and Cl at (0.1644, 0.6382, 0.9143).